[1]
# CaYSnBi, relaxed, DFT PBE
data_CaYSnBi
_chemical_formula_sum 'Ca1 Y1 Sn1 Bi1'
_cell_length_a 5.504
_cell_length_b 5.504
_cell_length_c 5.504
_cell_angle_alpha 60.00
_cell_angle_beta 60.00
_cell_angle_gamma 60.00
_space_group_name_H-M_alt 'P 1'
_space_group_IT_number 1
loop_
_space_group_symop_operation_xyz
'x,y,z'
loop_
_atom_site_label
_atom_site_fract_x
_atom_site_fract_y
_atom_site_fract_z
Sn1 0.000 0.000 0.000
Ca1 0.250 0.250 0.250
Y1 0.750 0.750 0.750
Bi1 0.500 0.500 0.500
# - energy relative to the elements (eV/f.u.) = -2.251
# - M_tot (μB/f.u.) = 0.000
# - calculated density (g/cm³) = 6.4
# - density of states at the Fermi level (states/eV per cell) = 4.26

[2]
# Tl2RhBr, relaxed, DFT PBE
data_Tl2RhBr
_chemical_formula_sum 'Tl2 Rh1 Br1'
_cell_length_a 4.327
_cell_length_b 5.729
_cell_length_c 5.733
_cell_angle_alpha 55.96
_cell_angle_beta 90.00
_cell_angle_gamma 90.00
_space_group_name_H-M_alt 'P 1'
_space_group_IT_number 1
loop_
_space_group_symop_operation_xyz
'x,y,z'
loop_
_atom_site_label
_atom_site_fract_x
_atom_site_fract_y
_atom_site_fract_z
Tl1 0.500 0.265 0.265
Tl2 0.000 0.905 0.906
Br1 0.000 0.580 0.579
Rh1 0.500 0.750 0.751
# - M_tot (μB/f.u.) = 0.000
# - calculated density (g/cm³) = 8.3
# - formation energy without anion corrections (eV/atom) = -0.064
# - density of states at the Fermi level (states/eV per cell) = 1.34

[3]
# Rb2YNpS4, relaxed, DFT PBE
data_Rb2YNpS4
_chemical_formula_sum 'Rb2 Y1 Np1 S4'
_cell_length_a 4.113
_cell_length_b 7.132
_cell_length_c 8.041
_cell_angle_alpha 107.26
_cell_angle_beta 90.00
_cell_angle_gamma 90.00
_space_group_name_H-M_alt 'P 1'
_space_group_IT_number 1
loop_
_space_group_symop_operation_xyz
'x,y,z'
loop_
_atom_site_label
_atom_site_fract_x
_atom_site_fract_y
_atom_site_fract_z
S1 0.500 0.228 0.193
S2 0.000 0.731 0.191
S3 0.500 0.772 0.807
S4 0.000 0.269 0.809
Rb1 0.000 0.500 0.500
Rb2 0.500 0.000 0.500
Np1 0.500 0.500 0.000
Y1 0.000 0.000 0.000
# - M_tot (μB/f.u.) = 4.000
# - calculated density (g/cm³) = 4.6
# - formation energy without anion corrections (eV/atom) = -1.598
# - density of states at the Fermi level (states/eV per cell) = 8.09